[1]
This record from the Alexandria database describes a relaxed Sr3InSi crystal. The functional is PBE-GGA.

CIF file:
```
data_Sr3InSi
_chemical_formula_sum 'Sr3 In1 Si1'
_cell_length_a 6.033
_cell_length_b 6.033
_cell_length_c 6.033
_cell_angle_alpha 90.00
_cell_angle_beta 90.00
_cell_angle_gamma 90.00
_symmetry_space_group_name_H-M 'P 1'
_symmetry_Int_Tables_number 1
_symmetry_space_group_name_Hall 'P 1'
loop_
_atom_site_label
_atom_site_type_symbol
_atom_site_fract_x
_atom_site_fract_y
_atom_site_fract_z
Sr1 Sr 0.000 0.000 0.500
Sr2 Sr 0.000 0.500 0.000
Sr3 Sr 0.500 0.000 0.000
In1 In 0.500 0.500 0.500
Si1 Si 0.000 0.000 0.000
```

Values from the calculation:
The total magnetic moment is 0.00 μB/f.u. The symmetry is Pm-3m, No. 221. Its polymorph energy (0 for the lowest one) is 0.000 eV/atom.

---

[2]
This record from the Alexandria database describes a relaxed Sr2InSi crystal. The functional is PBE-GGA.

CIF file:
```
data_Sr2InSi
_chemical_formula_sum 'Sr2 In1 Si1'
_cell_length_a 5.436
_cell_length_b 3.975
_cell_length_c 6.714
_cell_angle_alpha 90.00
_cell_angle_beta 111.75
_cell_angle_gamma 90.00
_symmetry_space_group_name_H-M 'P 1'
_symmetry_Int_Tables_number 1
_symmetry_space_group_name_Hall 'P 1'
loop_
_atom_site_label
_atom_site_type_symbol
_atom_site_fract_x
_atom_site_fract_y
_atom_site_fract_z
Sr1 Sr 0.000 0.000 0.000
Sr2 Sr 0.500 0.500 0.500
In1 In 0.000 0.000 0.500
Si1 Si 0.500 0.500 0.000
```

Values from the calculation:
The total magnetic moment is 0.00 μB/f.u. The symmetry is P2/m, No. 10. The calculation puts the total DFT energy (no corrections) at -2.919 eV/atom.

---

[3]
This record from the Alexandria database describes a relaxed Sr2InSi crystal. The functional is PBE-GGA.

CIF file:
```
data_Sr2InSi
_chemical_formula_sum 'Sr2 In1 Si1'
_cell_length_a 3.932
_cell_length_b 3.932
_cell_length_c 7.859
_cell_angle_alpha 90.00
_cell_angle_beta 90.00
_cell_angle_gamma 90.00
_symmetry_space_group_name_H-M 'P 1'
_symmetry_Int_Tables_number 1
_symmetry_space_group_name_Hall 'P 1'
loop_
_atom_site_label
_atom_site_type_symbol
_atom_site_fract_x
_atom_site_fract_y
_atom_site_fract_z
Sr1 Sr 0.000 0.000 0.227
Sr2 Sr 0.000 0.000 0.773
In1 In 0.500 0.500 0.500
Si1 Si 0.500 0.500 0.000
```

Values from the calculation:
The total magnetic moment is 0.00 μB/f.u. The symmetry is P4/mmm, No. 123. The calculation puts the total DFT energy (no corrections) at -3.166 eV/atom.

---

[4]
This record from the Alexandria database describes a relaxed SrIn2Si2 crystal. The functional is PBE-GGA.

CIF file:
```
data_SrIn2Si2
_chemical_formula_sum 'Sr2 In4 Si4'
_cell_length_a 7.869
_cell_length_b 7.869
_cell_length_c 4.033
_cell_angle_alpha 90.00
_cell_angle_beta 90.00
_cell_angle_gamma 90.00
_symmetry_space_group_name_H-M 'P 1'
_symmetry_Int_Tables_number 1
_symmetry_space_group_name_Hall 'P 1'
loop_
_atom_site_label
_atom_site_type_symbol
_atom_site_fract_x
_atom_site_fract_y
_atom_site_fract_z
Sr1 Sr 0.000 0.000 0.000
Sr2 Sr 0.500 0.500 0.000
In1 In 0.166 0.334 0.500
In2 In 0.334 0.834 0.500
In3 In 0.666 0.166 0.500
In4 In 0.834 0.666 0.500
Si1 Si 0.108 0.608 0.000
Si2 Si 0.392 0.108 0.000
Si3 Si 0.608 0.892 0.000
Si4 Si 0.892 0.392 0.000
```

Values from the calculation:
The total magnetic moment is 0.00 μB/f.u. The symmetry is P4/mbm, No. 127. The calculation puts the total DFT energy (no corrections) at -3.571 eV/atom.

---

[5]
This record from the Alexandria database describes a relaxed Sr6InSi2 crystal. The functional is PBE-GGA.

CIF file:
```
data_Sr6InSi2
_chemical_formula_sum 'Sr12 In2 Si4'
_cell_length_a 9.513
_cell_length_b 9.513
_cell_length_c 9.513
_cell_angle_alpha 112.62
_cell_angle_beta 109.74
_cell_angle_gamma 106.12
_symmetry_space_group_name_H-M 'P 1'
_symmetry_Int_Tables_number 1
_symmetry_space_group_name_Hall 'P 1'
loop_
_atom_site_label
_atom_site_type_symbol
_atom_site_fract_x
_atom_site_fract_y
_atom_site_fract_z
Sr1 Sr 0.052 0.245 0.807
Sr2 Sr 0.178 0.278 0.456
Sr3 Sr 0.178 0.722 0.899
Sr4 Sr 0.335 0.013 0.678
Sr5 Sr 0.335 0.657 0.322
Sr6 Sr 0.438 0.245 0.193
Sr7 Sr 0.562 0.755 0.807
Sr8 Sr 0.665 0.343 0.678
Sr9 Sr 0.665 0.987 0.322
Sr10 Sr 0.822 0.278 0.101
Sr11 Sr 0.822 0.722 0.544
Sr12 Sr 0.948 0.755 0.193
In1 In 0.000 0.000 0.000
In2 In 0.500 0.500 0.000
Si1 Si 0.107 0.607 0.500
Si2 Si 0.327 0.000 0.327
Si3 Si 0.673 0.000 0.673
Si4 Si 0.893 0.393 0.500
```

Values from the calculation:
The total magnetic moment is 1.27 μB/f.u. The symmetry is Immm, No. 71. The calculation puts the total DFT energy (no corrections) at -2.947 eV/atom.

---

[6]
This record from the Alexandria database describes a relaxed Sr2InSi crystal. The functional is PBE-GGA.

CIF file:
```
data_Sr2InSi
_chemical_formula_sum 'Sr4 In2 Si2'
_cell_length_a 6.505
_cell_length_b 4.431
_cell_length_c 9.416
_cell_angle_alpha 90.00
_cell_angle_beta 107.69
_cell_angle_gamma 90.00
_symmetry_space_group_name_H-M 'P 1'
_symmetry_Int_Tables_number 1
_symmetry_space_group_name_Hall 'P 1'
loop_
_atom_site_label
_atom_site_type_symbol
_atom_site_fract_x
_atom_site_fract_y
_atom_site_fract_z
Sr1 Sr 0.194 0.250 0.419
Sr2 Sr 0.276 0.750 0.061
Sr3 Sr 0.724 0.250 0.939
Sr4 Sr 0.806 0.750 0.581
In1 In 0.362 0.750 0.716
In2 In 0.638 0.250 0.284
Si1 Si 0.152 0.250 0.785
Si2 Si 0.848 0.750 0.215
```

Values from the calculation:
The total magnetic moment is 0.00 μB/f.u. The symmetry is P2_1/m, No. 11. The calculation puts the total DFT energy (no corrections) at -3.289 eV/atom.

---

[7]
This record from the Alexandria database describes a relaxed Sr2InSi crystal. The functional is PBE-GGA.

CIF file:
```
data_Sr2InSi
_chemical_formula_sum 'Sr4 In2 Si2'
_cell_length_a 4.444
_cell_length_b 4.821
_cell_length_c 12.041
_cell_angle_alpha 90.00
_cell_angle_beta 90.00
_cell_angle_gamma 90.00
_symmetry_space_group_name_H-M 'P 1'
_symmetry_Int_Tables_number 1
_symmetry_space_group_name_Hall 'P 1'
loop_
_atom_site_label
_atom_site_type_symbol
_atom_site_fract_x
_atom_site_fract_y
_atom_site_fract_z
Sr1 Sr 0.000 0.000 0.000
Sr2 Sr 0.000 0.500 0.500
Sr3 Sr 0.500 0.000 0.282
Sr4 Sr 0.500 0.500 0.782
In1 In 0.000 0.000 0.704
In2 In 0.000 0.500 0.204
Si1 Si 0.500 0.000 0.566
Si2 Si 0.500 0.500 0.066
```

Values from the calculation:
The total magnetic moment is 0.00 μB/f.u. The symmetry is Amm2, No. 38. The calculation puts the total DFT energy (no corrections) at -3.297 eV/atom.

---

[8]
This record from the Alexandria database describes a relaxed Sr2InSi2 crystal. The functional is PBE-GGA.

CIF file:
```
data_Sr2InSi2
_chemical_formula_sum 'Sr4 In2 Si4'
_cell_length_a 3.659
_cell_length_b 3.659
_cell_length_c 20.530
_cell_angle_alpha 90.00
_cell_angle_beta 90.00
_cell_angle_gamma 90.00
_symmetry_space_group_name_H-M 'P 1'
_symmetry_Int_Tables_number 1
_symmetry_space_group_name_Hall 'P 1'
loop_
_atom_site_label
_atom_site_type_symbol
_atom_site_fract_x
_atom_site_fract_y
_atom_site_fract_z
Sr1 Sr 0.000 0.000 0.117
Sr2 Sr 0.000 0.000 0.883
Sr3 Sr 0.500 0.500 0.383
Sr4 Sr 0.500 0.500 0.617
In1 In 0.000 0.000 0.500
In2 In 0.500 0.500 0.000
Si1 Si 0.000 0.500 0.250
Si2 Si 0.000 0.500 0.750
Si3 Si 0.500 0.000 0.250
Si4 Si 0.500 0.000 0.750
```

Values from the calculation:
The total magnetic moment is 0.00 μB/f.u. The symmetry is I4/mmm, No. 139. The calculation puts the total DFT energy (no corrections) at -3.538 eV/atom.

---

[9]
This record from the Alexandria database describes a relaxed SrIn2Si2 crystal. The functional is PBE-GGA.

CIF file:
```
data_SrIn2Si2
_chemical_formula_sum 'Sr2 In4 Si4'
_cell_length_a 4.949
_cell_length_b 4.949
_cell_length_c 10.409
_cell_angle_alpha 90.00
_cell_angle_beta 90.00
_cell_angle_gamma 90.00
_symmetry_space_group_name_H-M 'P 1'
_symmetry_Int_Tables_number 1
_symmetry_space_group_name_Hall 'P 1'
loop_
_atom_site_label
_atom_site_type_symbol
_atom_site_fract_x
_atom_site_fract_y
_atom_site_fract_z
Sr1 Sr 0.000 0.000 0.000
Sr2 Sr 0.500 0.500 0.500
In1 In 0.000 0.000 0.365
In2 In 0.000 0.000 0.635
In3 In 0.500 0.500 0.135
In4 In 0.500 0.500 0.865
Si1 Si 0.000 0.500 0.250
Si2 Si 0.000 0.500 0.750
Si3 Si 0.500 0.000 0.250
Si4 Si 0.500 0.000 0.750
```

Values from the calculation:
The total magnetic moment is 0.00 μB/f.u. The symmetry is I4/mmm, No. 139. The calculation puts the total DFT energy (no corrections) at -3.641 eV/atom.

---

[10]
This record from the Alexandria database describes a relaxed Sr2In2Si crystal. The functional is PBE-GGA.

CIF file:
```
data_Sr2In2Si
_chemical_formula_sum 'Sr4 In4 Si2'
_cell_length_a 7.624
_cell_length_b 7.624
_cell_length_c 5.221
_cell_angle_alpha 90.00
_cell_angle_beta 90.00
_cell_angle_gamma 90.00
_symmetry_space_group_name_H-M 'P 1'
_symmetry_Int_Tables_number 1
_symmetry_space_group_name_Hall 'P 1'
loop_
_atom_site_label
_atom_site_type_symbol
_atom_site_fract_x
_atom_site_fract_y
_atom_site_fract_z
Sr1 Sr 0.175 0.325 0.000
Sr2 Sr 0.325 0.825 0.000
Sr3 Sr 0.675 0.175 0.000
Sr4 Sr 0.825 0.675 0.000
In1 In 0.136 0.636 0.500
In2 In 0.364 0.136 0.500
In3 In 0.636 0.864 0.500
In4 In 0.864 0.364 0.500
Si1 Si 0.000 0.000 0.500
Si2 Si 0.500 0.500 0.500
```

Values from the calculation:
The total magnetic moment is 0.00 μB/f.u. The symmetry is P4/mbm, No. 127. The calculation puts the total DFT energy (no corrections) at -3.057 eV/atom.

---

[11]
This record from the Alexandria database describes a relaxed Sr2InSi crystal. The functional is PBE-GGA.

CIF file:
```
data_Sr2InSi
_chemical_formula_sum 'Sr6 In3 Si3'
_cell_length_a 3.984
_cell_length_b 3.984
_cell_length_c 29.531
_cell_angle_alpha 90.00
_cell_angle_beta 90.00
_cell_angle_gamma 120.00
_symmetry_space_group_name_H-M 'P 1'
_symmetry_Int_Tables_number 1
_symmetry_space_group_name_Hall 'P 1'
loop_
_atom_site_label
_atom_site_type_symbol
_atom_site_fract_x
_atom_site_fract_y
_atom_site_fract_z
Sr1 Sr 0.000 0.000 0.240
Sr2 Sr 0.000 0.000 0.760
Sr3 Sr 0.333 0.667 0.427
Sr4 Sr 0.333 0.667 0.907
Sr5 Sr 0.667 0.333 0.093
Sr6 Sr 0.667 0.333 0.573
In1 In 0.000 0.000 0.000
In2 In 0.333 0.667 0.667
In3 In 0.667 0.333 0.333
Si1 Si 0.000 0.000 0.500
Si2 Si 0.333 0.667 0.167
Si3 Si 0.667 0.333 0.833
```

Values from the calculation:
The total magnetic moment is 0.31 μB/f.u. The symmetry is R-3m, No. 166. The calculation puts the total DFT energy (no corrections) at -2.966 eV/atom.

---

[12]
This record from the Alexandria database describes a relaxed Sr2InSi crystal. The functional is PBE-GGA.

CIF file:
```
data_Sr2InSi
_chemical_formula_sum 'Sr4 In2 Si2'
_cell_length_a 5.280
_cell_length_b 5.449
_cell_length_c 9.192
_cell_angle_alpha 90.00
_cell_angle_beta 90.00
_cell_angle_gamma 90.00
_symmetry_space_group_name_H-M 'P 1'
_symmetry_Int_Tables_number 1
_symmetry_space_group_name_Hall 'P 1'
loop_
_atom_site_label
_atom_site_type_symbol
_atom_site_fract_x
_atom_site_fract_y
_atom_site_fract_z
Sr1 Sr 0.000 0.000 0.000
Sr2 Sr 0.000 0.500 0.389
Sr3 Sr 0.500 0.000 0.389
Sr4 Sr 0.500 0.500 0.000
In1 In 0.000 0.500 0.754
In2 In 0.500 0.000 0.754
Si1 Si 0.000 0.000 0.618
Si2 Si 0.500 0.500 0.618
```

Values from the calculation:
The total magnetic moment is 0.00 μB/f.u. The symmetry is Cmm2, No. 35. The calculation puts the total DFT energy (no corrections) at -2.965 eV/atom.

---

[13]
This record from the Alexandria database describes a relaxed SrInSi4 crystal. The functional is PBE-GGA.

CIF file:
```
data_SrInSi4
_chemical_formula_sum 'Sr1 In1 Si4'
_cell_length_a 5.499
_cell_length_b 5.499
_cell_length_c 5.499
_cell_angle_alpha 60.00
_cell_angle_beta 60.00
_cell_angle_gamma 60.00
_symmetry_space_group_name_H-M 'P 1'
_symmetry_Int_Tables_number 1
_symmetry_space_group_name_Hall 'P 1'
loop_
_atom_site_label
_atom_site_type_symbol
_atom_site_fract_x
_atom_site_fract_y
_atom_site_fract_z
Sr1 Sr 0.000 0.000 0.000
In1 In 0.750 0.750 0.750
Si1 Si 0.379 0.379 0.379
Si2 Si 0.379 0.379 0.862
Si3 Si 0.379 0.862 0.379
Si4 Si 0.862 0.379 0.379
```

Values from the calculation:
The total magnetic moment is 0.00 μB/f.u. The symmetry is F-43m, No. 216. The calculation puts the total DFT energy (no corrections) at -4.252 eV/atom.